Entry from Alexandria: a relaxed PmSm6 crystal (PBE-GGA).

Cell and atoms, written as POSCAR:
```
PmSm6
1.0
-4.149 -4.425 -3.543
-1.185 -0.688 6.890
-1.392 6.598 -1.968
Pm Sm
1 6
Direct
0.000 0.000 0.000 Pm
0.250 0.750 0.500 Sm
0.500 0.750 0.250 Sm
0.250 0.500 0.750 Sm
0.750 0.250 0.500 Sm
0.500 0.250 0.750 Sm
0.750 0.500 0.250 Sm
```

Properties
electronic total energy: -3.4799 eV/atom
V: 38.12 Å³/atom
energy above the lowest structure with this stoichiometry: 1.003 eV/atom
DOS(E_F): 0.84 states/eV per atom
formation energy from the elements: 1.24 eV/atom
SG: Im-3m

---

Entry from Alexandria: a relaxed Pm3Sm8 crystal (PBE-GGA).

Cell and atoms, written as POSCAR:
```
Pm3Sm8
1.0
3.616 0.000 0.349
1.791 3.141 0.349
-1.326 -0.770 32.648
Pm Sm
3 8
Direct
0.273 0.273 0.182 Pm
0.727 0.727 0.818 Pm
0.000 0.000 0.000 Pm
0.182 0.182 0.455 Sm
0.364 0.364 0.909 Sm
0.636 0.636 0.091 Sm
0.818 0.818 0.545 Sm
0.545 0.545 0.364 Sm
0.091 0.091 0.727 Sm
0.909 0.909 0.273 Sm
0.455 0.455 0.636 Sm
```

Properties
electronic total energy: -4.7165 eV/atom
V: 33.89 Å³/atom
energy above the lowest structure with this stoichiometry: 0.000 eV/atom
DOS(E_F): 1.31 states/eV per atom
formation energy from the elements: 0.01 eV/atom
SG: R-3m

---

Entry from Alexandria: a relaxed Pm2Sm crystal (PBE-GGA).

Cell and atoms, written as POSCAR:
```
Pm2Sm
1.0
3.643 0.000 0.000
0.000 3.643 0.000
-1.822 -1.822 7.734
Sm Pm
1 2
Direct
0.000 0.000 0.000 Sm
0.666 0.666 0.333 Pm
0.334 0.334 0.667 Pm
```

Properties
electronic total energy: -4.7256 eV/atom
V: 34.22 Å³/atom
energy above the lowest structure with this stoichiometry: 0.000 eV/atom
DOS(E_F): 1.38 states/eV per atom
formation energy from the elements: 0.01 eV/atom
SG: I4/mmm

---

Entry from Alexandria: a relaxed Pm8Sm3 crystal (PBE-GGA).

Cell and atoms, written as POSCAR:
```
Pm8Sm3
1.0
7.268 0.206 0.201
0.390 7.261 0.201
0.390 0.380 7.254
Pm Sm
8 3
Direct
0.887 0.306 0.148 Pm
0.306 0.148 0.887 Pm
0.148 0.887 0.306 Pm
0.380 0.380 0.380 Pm
0.620 0.620 0.620 Pm
0.852 0.113 0.694 Pm
0.694 0.852 0.113 Pm
0.113 0.694 0.852 Pm
0.500 0.000 0.500 Sm
0.000 0.500 0.500 Sm
0.500 0.500 0.000 Sm
```

Properties
electronic total energy: -4.2784 eV/atom
V: 34.65 Å³/atom
energy above the lowest structure with this stoichiometry: 0.118 eV/atom
DOS(E_F): 1.23 states/eV per atom
formation energy from the elements: 0.46 eV/atom
SG: R-3

---

Entry from Alexandria: a relaxed Pm2Sm crystal (PBE-GGA).

Cell and atoms, written as POSCAR:
```
Pm2Sm
1.0
-0.071 -1.475 -6.530
2.328 -5.907 -2.123
-4.238 -4.623 -2.342
Sm Pm
2 4
Direct
0.000 0.000 0.000 Sm
0.250 0.250 0.250 Sm
0.125 0.625 0.625 Pm
0.625 0.125 0.625 Pm
0.625 0.625 0.625 Pm
0.625 0.625 0.125 Pm
```

Properties
electronic total energy: -4.4806 eV/atom
V: 35.36 Å³/atom
energy above the lowest structure with this stoichiometry: 0.245 eV/atom
DOS(E_F): 1.76 states/eV per atom
formation energy from the elements: 0.26 eV/atom
SG: Fd-3m

---

Entry from Alexandria: a relaxed PmSm3 crystal (PBE-GGA).

Cell and atoms, written as POSCAR:
```
PmSm3
1.0
-5.524 0.762 1.507
-3.018 -4.392 2.228
-1.490 0.057 5.581
Sm Pm
3 1
Direct
0.000 0.000 0.000 Sm
0.750 0.750 0.750 Sm
0.250 0.250 0.250 Sm
0.500 0.500 0.500 Pm
```

Properties
electronic total energy: -4.5844 eV/atom
V: 34.07 Å³/atom
energy above the lowest structure with this stoichiometry: 0.130 eV/atom
DOS(E_F): 2.70 states/eV per atom
formation energy from the elements: 0.14 eV/atom
SG: Fm-3m

---

Entry from Alexandria: a relaxed Pm7Sm6 crystal (PBE-GGA).

Cell and atoms, written as POSCAR:
```
Pm7Sm6
1.0
6.582 0.000 1.322
3.158 5.775 1.322
0.987 0.585 12.130
Pm Sm
7 6
Direct
0.407 0.924 0.261 Pm
0.407 0.407 0.261 Pm
0.924 0.407 0.261 Pm
0.593 0.076 0.739 Pm
0.076 0.593 0.739 Pm
0.593 0.593 0.739 Pm
0.500 0.500 0.500 Pm
0.954 0.954 0.137 Sm
0.046 0.046 0.863 Sm
0.851 0.851 0.446 Sm
0.149 0.149 0.554 Sm
0.665 0.665 0.006 Sm
0.335 0.335 0.994 Sm
```

Properties
electronic total energy: -4.4916 eV/atom
V: 34.68 Å³/atom
DOS(E_F): 2.22 states/eV per atom
formation energy from the elements: 0.24 eV/atom
SG: R-3m

---

Entry from Alexandria: a relaxed Pm5Sm6 crystal (PBE-GGA).

Cell and atoms, written as POSCAR:
```
Pm5Sm6
1.0
9.307 0.000 -0.633
4.653 6.661 -0.317
2.449 0.000 5.977
Pm Sm
5 6
Direct
0.500 0.000 0.500 Pm
0.371 0.257 0.000 Pm
0.629 0.743 0.000 Pm
0.240 0.520 0.500 Pm
0.760 0.480 0.500 Pm
0.831 0.000 0.683 Sm
0.169 0.000 0.317 Sm
0.310 0.736 0.831 Sm
0.954 0.736 0.169 Sm
0.690 0.264 0.169 Sm
0.046 0.264 0.831 Sm
```

Properties
electronic total energy: -4.6007 eV/atom
V: 34.63 Å³/atom
energy above the lowest structure with this stoichiometry: 0.024 eV/atom
DOS(E_F): 1.20 states/eV per atom
formation energy from the elements: 0.13 eV/atom
SG: C2/m